Computed, not measured: YC3I after structural relaxation at the PBE-GGA level of DFT. Values from VASP.

Results
- Total magnetic moment: 0.00 μB per cell
- SG: Pm-3m (221)
- Energy: -24.1 eV per cell
- Energy relative to the lowest polymorph listed for this composition: 0.0 meV/atom

```
&SYSTEM
  ibrav = 0, nat = 5, ntyp = 3
/
ATOMIC_SPECIES
C 12.01 C.upf
Y 88.91 Y.upf
I 126.90 I.upf
CELL_PARAMETERS angstrom
4.183 0.000 0.000
0.000 4.183 0.000
0.000 0.000 4.183
ATOMIC_POSITIONS angstrom
C 2.092 0.000 0.000
C 0.000 0.000 2.092
C 0.000 2.092 0.000
Y 2.092 2.092 2.092
I 0.000 0.000 0.000
```

Computed, not measured: CeMg2CdAu2 after structural relaxation at the PBE-GGA level of DFT. Values from VASP.

Results
- Total magnetic moment: 0.92 μB per cell
- SG: P-3m1 (164)
- Energy: -19.6 eV per cell
- Calculated formation energy: -0.497 eV/atom

```
&SYSTEM
  ibrav = 0, nat = 6, ntyp = 4
/
ATOMIC_SPECIES
Au 196.97 Au.upf
Ce 140.12 Ce.upf
Mg 24.30 Mg.upf
Cd 112.41 Cd.upf
CELL_PARAMETERS angstrom
-2.402 2.558 3.185
1.272 -4.452 1.010
5.823 2.250 2.584
ATOMIC_POSITIONS angstrom
Au 1.456 -1.571 2.360
Au 3.237 1.927 4.419
Ce 0.000 0.000 0.000
Mg 3.974 -0.599 3.477
Mg 0.720 0.954 3.302
Cd 2.912 1.125 1.292
```

Computed, not measured: DyErTm after structural relaxation at the PBE-GGA level of DFT. Values from VASP.

Results
- Total magnetic moment: 0.00 μB per cell
- SG: C2/m (12)
- Energy: -27.0 eV per cell
- Energy relative to the lowest polymorph listed for this composition: 15.8 meV/atom
- Calculated formation energy: 0.038 eV/atom

```
&SYSTEM
  ibrav = 0, nat = 6, ntyp = 3
/
ATOMIC_SPECIES
Dy 162.50 Dy.upf
Er 167.26 Er.upf
Tm 168.93 Tm.upf
CELL_PARAMETERS angstrom
-0.742 3.418 0.094
-6.420 0.446 -1.812
-4.188 0.682 7.399
ATOMIC_POSITIONS angstrom
Dy -4.810 3.378 4.785
Dy -3.000 0.334 -0.595
Er -2.260 2.204 2.404
Er -5.549 1.508 1.786
Tm -8.034 2.703 3.850
Tm -6.196 1.455 -1.472
```

Computed, not measured: NaPrTl after structural relaxation at the PBE-GGA level of DFT. Values from VASP.

Results
- Total magnetic moment: 0.00 μB per cell
- SG: P3m1 (156)
- Energy: -8.8 eV per cell
- Energy relative to the lowest polymorph listed for this composition: 71.0 meV/atom
- Calculated formation energy: -0.119 eV/atom

```
&SYSTEM
  ibrav = 0, nat = 3, ntyp = 3
/
ATOMIC_SPECIES
Tl 204.38 Tl.upf
Pr 140.91 Pr.upf
Na 22.99 Na.upf
CELL_PARAMETERS angstrom
3.455 0.000 0.000
0.000 5.423 0.000
0.000 -2.711 4.696
ATOMIC_POSITIONS angstrom
Tl 2.887 2.711 1.565
Pr 1.152 0.000 3.131
Na 2.872 0.000 0.000
```

Computed, not measured: La2YH after structural relaxation at the PBE-GGA level of DFT. Values from VASP.

Results
- Total magnetic moment: 0.00 μB per cell
- SG: R-3m (166)
- Energy: -20.3 eV per cell
- Energy relative to the lowest polymorph listed for this composition: 9.9 meV/atom

```
&SYSTEM
  ibrav = 0, nat = 4, ntyp = 3
/
ATOMIC_SPECIES
Y 88.91 Y.upf
La 138.91 La.upf
H 1.01 H.upf
CELL_PARAMETERS angstrom
3.728 0.000 0.000
1.864 3.228 0.000
1.864 1.076 9.021
ATOMIC_POSITIONS angstrom
Y 3.728 2.152 4.511
La 5.592 3.228 7.501
La 1.864 1.076 1.520
H 0.000 0.000 0.000
```

Computed, not measured: HoThSnHg after structural relaxation at the PBE-GGA level of DFT. Values from VASP.

Results
- Total magnetic moment: 0.00 μB per cell
- SG: F-43m (216)
- Energy: -18.0 eV per cell
- Calculated formation energy: -0.417 eV/atom

```
&SYSTEM
  ibrav = 0, nat = 4, ntyp = 4
/
ATOMIC_SPECIES
Ho 164.93 Ho.upf
Hg 200.59 Hg.upf
Th 232.04 Th.upf
Sn 118.71 Sn.upf
CELL_PARAMETERS angstrom
-2.875 1.838 4.151
1.243 -1.505 5.006
2.167 3.542 3.410
ATOMIC_POSITIONS angstrom
Ho 0.000 0.000 0.000
Hg 0.134 0.969 3.142
Th 0.268 1.938 6.284
Sn 0.401 2.906 9.425
```

Computed, not measured: KLa2Hg after structural relaxation at the PBE-GGA level of DFT. Values from VASP.

Results
- Total magnetic moment: 1.17 μB per cell
- SG: F-43m (216)
- Energy: -10.2 eV per cell
- Calculated formation energy: 0.263 eV/atom

```
&SYSTEM
  ibrav = 0, nat = 4, ntyp = 3
/
ATOMIC_SPECIES
Hg 200.59 Hg.upf
La 138.91 La.upf
K 39.10 K.upf
CELL_PARAMETERS angstrom
-4.478 -1.596 -3.262
0.644 -4.154 -3.946
-2.464 -5.150 0.807
ATOMIC_POSITIONS angstrom
Hg -3.149 -5.450 -3.201
La 0.000 0.000 0.000
La -1.575 -2.725 -1.600
K -4.724 -8.175 -4.801
```

Computed, not measured: K2ScIr after structural relaxation at the PBE-GGA level of DFT. Values from VASP.

Results
- Total magnetic moment: 0.00 μB per cell
- SG: Pm (6)
- Energy: -17.3 eV per cell
- Energy relative to the lowest polymorph listed for this composition: 6.7 meV/atom
- Calculated formation energy: 0.021 eV/atom

```
&SYSTEM
  ibrav = 0, nat = 4, ntyp = 3
/
ATOMIC_SPECIES
K 39.10 K.upf
Sc 44.96 Sc.upf
Ir 192.22 Ir.upf
CELL_PARAMETERS angstrom
-1.037 -2.653 2.348
3.262 -1.026 0.281
4.700 5.667 8.480
ATOMIC_POSITIONS angstrom
K 1.571 0.200 3.822
K 4.565 5.109 7.790
Sc 4.120 2.976 5.183
Ir 5.350 1.691 7.175
```

Computed, not measured: SrV2Mo after structural relaxation at the PBE-GGA level of DFT. Values from VASP.

Results
- Total magnetic moment: 5.94 μB per cell
- SG: I4_1/amd (141)
- Energy: -51.7 eV per cell
- Energy relative to the lowest polymorph listed for this composition: 242.5 meV/atom
- Calculated formation energy: 1.221 eV/atom

```
&SYSTEM
  ibrav = 0, nat = 8, ntyp = 3
/
ATOMIC_SPECIES
Sr 87.62 Sr.upf
V 50.94 V.upf
Mo 95.94 Mo.upf
CELL_PARAMETERS angstrom
5.047 0.000 0.000
0.000 5.047 0.000
2.524 2.524 8.275
ATOMIC_POSITIONS angstrom
Sr 2.524 2.524 0.000
Sr 2.524 5.047 4.137
V 5.048 3.785 2.069
V 5.046 1.262 2.069
V 3.785 2.525 6.206
V 6.309 2.523 6.206
Mo 0.000 0.000 0.000
Mo 5.047 2.524 4.137
```

Computed, not measured: Mg6GaPd2 after structural relaxation at the PBE-GGA level of DFT. Values from VASP.

Results
- Total magnetic moment: 0.00 μB per cell
- SG: P2_1/c (14)
- Energy: -52.2 eV per cell
- Energy relative to the lowest polymorph listed for this composition: 45.8 meV/atom
- Calculated formation energy: -0.348 eV/atom

```
&SYSTEM
  ibrav = 0, nat = 18, ntyp = 3
/
ATOMIC_SPECIES
Mg 24.30 Mg.upf
Pd 106.42 Pd.upf
Ga 69.72 Ga.upf
CELL_PARAMETERS angstrom
7.093 0.000 0.277
0.000 6.482 0.000
-0.325 0.000 7.705
ATOMIC_POSITIONS angstrom
Mg 1.674 0.933 6.112
Mg 1.301 5.593 0.680
Mg 5.829 4.070 7.241
Mg 0.939 2.411 0.741
Mg 4.324 0.829 4.731
Mg 1.385 4.174 5.584
Mg 5.383 2.308 2.398
Mg 2.083 2.352 3.311
Mg 2.445 5.652 3.250
Mg 4.685 4.130 4.671
Mg 5.095 5.549 1.869
Mg 5.467 0.889 7.302
Pd 0.116 4.213 2.774
Pd 3.268 0.972 1.217
Pd 3.500 5.509 6.765
Pd 6.653 2.268 5.207
Ga 3.547 3.241 0.138
Ga -0.162 0.000 3.853
```

Computed, not measured: Sm2LuPt after structural relaxation at the PBE-GGA level of DFT. Values from VASP.

Results
- Total magnetic moment: 0.00 μB per cell
- SG: R-3m (166)
- Energy: -20.9 eV per cell
- Energy relative to the lowest polymorph listed for this composition: 277.8 meV/atom
- Calculated formation energy: -0.224 eV/atom

```
&SYSTEM
  ibrav = 0, nat = 4, ntyp = 3
/
ATOMIC_SPECIES
Lu 174.97 Lu.upf
Sm 150.36 Sm.upf
Pt 195.08 Pt.upf
CELL_PARAMETERS angstrom
-2.822 -2.081 -1.282
-1.040 -3.075 1.844
-8.087 3.996 5.882
ATOMIC_POSITIONS angstrom
Lu 0.000 0.000 0.000
Sm -6.063 -3.306 2.406
Sm -5.886 2.146 4.039
Pt -5.974 -0.580 3.222
```

Computed, not measured: PrBi7Pd4 after structural relaxation at the PBE-GGA level of DFT. Values from VASP.

Results
- Total magnetic moment: 0.00 μB per cell
- SG: C2/m (12)
- Energy: -54.7 eV per cell
- Calculated formation energy: -0.168 eV/atom

```
&SYSTEM
  ibrav = 0, nat = 12, ntyp = 3
/
ATOMIC_SPECIES
Bi 208.98 Bi.upf
Pd 106.42 Pd.upf
Pr 140.91 Pr.upf
CELL_PARAMETERS angstrom
-1.553 5.804 -1.296
-8.110 1.460 1.686
-0.655 4.422 6.011
ATOMIC_POSITIONS angstrom
Bi -0.955 3.564 2.532
Bi -0.777 2.902 -0.648
Bi -9.363 8.121 3.868
Bi -4.255 5.605 1.053
Bi -6.063 6.081 5.348
Bi -5.196 9.216 3.777
Bi -5.122 2.470 2.624
Pd -3.723 6.372 3.848
Pd -3.046 2.627 0.843
Pd -6.595 5.314 2.553
Pd -7.272 9.058 5.558
Pr 0.000 0.000 0.000
```

- The highest energy belongs to which entry?
  NaPrTl

Copy entry 9 word for word.
Computed, not measured: SrV2Mo after structural relaxation at the PBE-GGA level of DFT. Values from VASP.

Results
- Total magnetic moment: 5.94 μB per cell
- SG: I4_1/amd (141)
- Energy: -51.7 eV per cell
- Energy relative to the lowest polymorph listed for this composition: 242.5 meV/atom
- Calculated formation energy: 1.221 eV/atom

```
&SYSTEM
  ibrav = 0, nat = 8, ntyp = 3
/
ATOMIC_SPECIES
Sr 87.62 Sr.upf
V 50.94 V.upf
Mo 95.94 Mo.upf
CELL_PARAMETERS angstrom
5.047 0.000 0.000
0.000 5.047 0.000
2.524 2.524 8.275
ATOMIC_POSITIONS angstrom
Sr 2.524 2.524 0.000
Sr 2.524 5.047 4.137
V 5.048 3.785 2.069
V 5.046 1.262 2.069
V 3.785 2.525 6.206
V 6.309 2.523 6.206
Mo 0.000 0.000 0.000
Mo 5.047 2.524 4.137
```

- Among the records above, which one has the lowest energy?
  PrBi7Pd4